Run w
## ScGaI2N (PBE)

Data for a geometry-optimized ScGaI2N structure.

Values from the calculation:
Volume: 28.98 Å³ per atom
Symmetry: P4/mmm, No. 123
Total magnetic moment: 1.01 μB/cell

Cell: 5.9988 5.9988 4.0263 Å, 90.00 90.00 90.00°
Fractional coordinates of all 5 atoms:
I: 0.0000 0.5000 0.0000
I: 0.5000 0.0000 0.0000
Sc: 0.0000 0.0000 0.0000
Ga: 0.5000 0.5000 0.5000
N: 0.0000 0.0000 0.5000

Run x
## ScGaI2N (PBE)

Data for a geometry-optimized ScGaI2N structure.

Values from the calculation:
Volume: 24.66 Å³ per atom
Symmetry: P4/mmm, No. 123
Total magnetic moment: 0.00 μB/cell

Cell: 5.8787 5.8787 3.5683 Å, 90.00 90.00 90.00°
Fractional coordinates of all 5 atoms:
I: 0.0000 0.5000 0.0000
I: 0.5000 0.0000 0.0000
Sc: 0.5000 0.5000 0.5000
Ga: 0.0000 0.0000 0.0000
N: 0.0000 0.0000 0.5000

Which structure wins on stability? run w wins.

Run w
## GaSeIN2 (PBE)

Data for a geometry-optimized GaSeIN2 structure.

Values from the calculation:
Volume: 23.16 Å³ per atom
Symmetry: P4/mmm, No. 123
Total magnetic moment: 0.00 μB/cell

Cell: 3.9409 3.9409 7.4562 Å, 90.00 90.00 90.00°
Fractional coordinates of all 5 atoms:
I: 0.0000 0.0000 0.0000
Ga: 0.5000 0.5000 0.5000
Se: 0.0000 0.0000 0.5000
N: 0.0000 0.5000 0.0000
N: 0.5000 0.0000 0.0000

Run x
## GaSeIN2 (PBE)

Data for a geometry-optimized GaSeIN2 structure.

Values from the calculation:
Volume: 25.47 Å³ per atom
Symmetry: P4/mmm, No. 123
Total magnetic moment: 2.94 μB/cell

Cell: 3.9610 3.9610 8.1184 Å, 90.00 90.00 90.00°
Fractional coordinates of all 5 atoms:
I: 0.0000 0.0000 0.5000
Ga: 0.0000 0.0000 0.0000
Se: 0.5000 0.5000 0.5000
N: 0.0000 0.5000 0.0000
N: 0.5000 0.0000 0.0000

Which structure wins on stability? run x wins.

Run w
## TaGaI2N (PBE)

Data for a geometry-optimized TaGaI2N structure.

Values from the calculation:
Volume: 26.34 Å³ per atom
Symmetry: P4/mmm, No. 123
Total magnetic moment: 0.19 μB/cell

Cell: 5.7745 5.7745 3.9495 Å, 90.00 90.00 90.00°
Fractional coordinates of all 5 atoms:
I: 0.0000 0.5000 0.0000
I: 0.5000 0.0000 0.0000
N: 0.0000 0.0000 0.5000
Ga: 0.5000 0.5000 0.5000
Ta: 0.0000 0.0000 0.0000

Run x
## TaGaI2N (PBE)

Data for a geometry-optimized TaGaI2N structure.

Values from the calculation:
Volume: 23.41 Å³ per atom
Symmetry: P4/mmm, No. 123
Total magnetic moment: 2.08 μB/cell

Cell: 5.7820 5.7820 3.5018 Å, 90.00 90.00 90.00°
Fractional coordinates of all 5 atoms:
I: 0.0000 0.5000 0.0000
I: 0.5000 0.0000 0.0000
N: 0.0000 0.0000 0.5000
Ga: 0.0000 0.0000 0.0000
Ta: 0.5000 0.5000 0.5000

Which structure wins on stability? run w wins.